1.
DFT (GGA-PBE) results for a relaxed K4Ho3HfO8 crystal.

abc: 7.3881 7.3881 7.3881
angles: 55.07 55.07 55.07
Element x y z (fractional)
K1 0.0000 0.0000 0.0000
K2 0.0000 0.5000 0.5000
K3 0.5000 0.0000 0.5000
K4 0.5000 0.5000 0.0000
Ho1 0.0000 0.0000 0.5000
Ho2 0.0000 0.5000 0.0000
Ho3 0.5000 0.0000 0.0000
Hf1 0.5000 0.5000 0.5000
O1 0.2282 0.2282 0.2282
O2 0.2476 0.7166 0.7166
O3 0.2834 0.2834 0.7524
O4 0.2834 0.7524 0.2834
O5 0.7166 0.2476 0.7166
O6 0.7166 0.7166 0.2476
O7 0.7524 0.2834 0.2834
O8 0.7718 0.7718 0.7718

For the raw formation energy, the calculation gives -2677 meV/atom. As for the density of states at the Fermi level: 0.22 states/eV/atom. For the total magnetic moment, the calculation gives 0.00 Bohr magnetons per cell. The calculation puts the density at 6.3 g/cm3. Its crystal system is trigonal. Its uncorrected energy is -6.911 eV/atom.

***

2.
DFT (GGA-PBE) results for a relaxed K4Ho3HfS8 crystal.

abc: 8.6687 8.6687 8.6687
angles: 54.26 54.26 54.26
Element x y z (fractional)
K1 0.0000 0.0000 0.0000
K2 0.0000 0.5000 0.5000
K3 0.5000 0.0000 0.5000
K4 0.5000 0.5000 0.0000
Ho1 0.0000 0.0000 0.5000
Ho2 0.0000 0.5000 0.0000
Ho3 0.5000 0.0000 0.0000
Hf1 0.5000 0.5000 0.5000
S1 0.2348 0.2348 0.2348
S2 0.2480 0.7254 0.7254
S3 0.2746 0.2746 0.7520
S4 0.2746 0.7520 0.2746
S5 0.7254 0.2480 0.7254
S6 0.7254 0.7254 0.2480
S7 0.7520 0.2746 0.2746
S8 0.7652 0.7652 0.7652

For the raw formation energy, the calculation gives -1764 meV/atom. As for the density of states at the Fermi level: 0.25 states/eV/atom. For the total magnetic moment, the calculation gives 0.00 Bohr magnetons per cell. The calculation puts the density at 4.5 g/cm3. Its crystal system is trigonal. Its uncorrected energy is -5.583 eV/atom.

***

3.
DFT (GGA-PBE) results for a relaxed K2Ho2HfSe6 crystal.

abc: 7.0048 7.0048 8.2254
angles: 98.47 98.47 119.62
Element x y z (fractional)
K1 0.1702 0.8298 0.0000
K2 0.8298 0.1702 0.0000
Ho1 0.3330 0.6670 0.5000
Ho2 0.6670 0.3330 0.5000
Hf1 0.0000 0.0000 0.5000
Se1 0.0692 0.3853 0.6985
Se2 0.2484 0.2484 0.3031
Se3 0.3853 0.0692 0.6985
Se4 0.6147 0.9308 0.3015
Se5 0.7516 0.7516 0.6969
Se6 0.9308 0.6147 0.3015

For the raw formation energy, the calculation gives -1653 meV/atom. As for the density of states at the Fermi level: 0.00 states/eV/atom. For the total magnetic moment, the calculation gives 0.00 Bohr magnetons per cell. The calculation puts the density at 5.2 g/cm3. Its crystal system is monoclinic. Its uncorrected energy is -5.490 eV/atom.

***

4.
DFT (GGA-PBE) results for a relaxed K3Ho3HfSe8 crystal.

abc: 9.1575 9.1575 9.1575
angles: 53.16 53.16 53.16
Element x y z (fractional)
K1 0.0000 0.5000 0.5000
K2 0.5000 0.0000 0.5000
K3 0.5000 0.5000 0.0000
Ho1 0.0000 0.0000 0.5000
Ho2 0.0000 0.5000 0.0000
Ho3 0.5000 0.0000 0.0000
Hf1 0.5000 0.5000 0.5000
Se1 0.2347 0.2347 0.2347
Se2 0.2481 0.7240 0.7240
Se3 0.2760 0.2760 0.7519
Se4 0.2760 0.7519 0.2760
Se5 0.7240 0.2481 0.7240
Se6 0.7240 0.7240 0.2481
Se7 0.7519 0.2760 0.2760
Se8 0.7653 0.7653 0.7653

For the raw formation energy, the calculation gives -1681 meV/atom. As for the density of states at the Fermi level: 0.00 states/eV/atom. For the total magnetic moment, the calculation gives 0.00 Bohr magnetons per cell. The calculation puts the density at 5.2 g/cm3. Its crystal system is trigonal. Its uncorrected energy is -5.338 eV/atom.

***

5.
DFT (GGA-PBE) results for a relaxed K3Ho3HfTe8 crystal.

abc: 9.8361 9.8361 9.8361
angles: 52.75 52.75 52.75
Element x y z (fractional)
K1 0.0000 0.5000 0.5000
K2 0.5000 0.0000 0.5000
K3 0.5000 0.5000 0.0000
Ho1 0.0000 0.0000 0.5000
Ho2 0.0000 0.5000 0.0000
Ho3 0.5000 0.0000 0.0000
Hf1 0.5000 0.5000 0.5000
Te1 0.2360 0.2360 0.2360
Te2 0.2475 0.7263 0.7263
Te3 0.2737 0.2737 0.7525
Te4 0.2737 0.7525 0.2737
Te5 0.7263 0.2475 0.7263
Te6 0.7263 0.7263 0.2475
Te7 0.7525 0.2737 0.2737
Te8 0.7640 0.7640 0.7640

For the raw formation energy, the calculation gives -1265 meV/atom. For the total magnetic moment, the calculation gives 0.00 Bohr magnetons per cell. The calculation puts the density at 5.4 g/cm3. Its crystal system is trigonal. Its uncorrected energy is -4.739 eV/atom.

***

6.
DFT (GGA-PBE) results for a relaxed K2Ho2HfTe6 crystal.

abc: 7.4755 7.4755 8.8399
angles: 98.48 98.48 119.73
Element x y z (fractional)
K1 0.1708 0.8292 0.0000
K2 0.8292 0.1708 0.0000
Ho1 0.3320 0.6680 0.5000
Ho2 0.6680 0.3320 0.5000
Hf1 0.0000 0.0000 0.5000
Te1 0.0734 0.3888 0.7035
Te2 0.2490 0.2490 0.2989
Te3 0.3888 0.0734 0.7035
Te4 0.6112 0.9266 0.2965
Te5 0.7510 0.7510 0.7011
Te6 0.9266 0.6112 0.2965

For the raw formation energy, the calculation gives -1222 meV/atom. For the total magnetic moment, the calculation gives 0.00 Bohr magnetons per cell. The calculation puts the density at 5.5 g/cm3. Its crystal system is monoclinic. Its uncorrected energy is -4.873 eV/atom.